[1]
The following is a DFT calculation (PBE-GGA) of MnBeTc after structural relaxation.

Values from the calculation:
Spin magnetization ... 0.014 μB per cell

Cell and atoms, written as CIF:
```
data_MnBeTc
_chemical_formula_sum 'Mn4 Be4 Tc4'
_cell_length_a 5.4007
_cell_length_b 5.4007
_cell_length_c 5.4007
_cell_angle_alpha 90.00
_cell_angle_beta 90.00
_cell_angle_gamma 90.00
_space_group_name_H-M_alt 'F -4 3 m'
_space_group_IT_number 216
_space_group_name_Hall 'F -4 2 3'
loop_
_atom_site_label
_atom_site_fract_x
_atom_site_fract_y
_atom_site_fract_z
Mn1 0.0000 0.0000 0.0000
Be1 0.2500 0.2500 0.7500
Tc1 0.2500 0.2500 0.2500
```

[2]
The following is a DFT calculation (PBE-GGA) of MnBeTc2 after structural relaxation.

Values from the calculation:
Spin magnetization ... 5.042 μB per cell

Cell and atoms, written as CIF:
```
data_MnBeTc2
_chemical_formula_sum 'Mn4 Be4 Tc8'
_cell_length_a 5.8496
_cell_length_b 5.8496
_cell_length_c 5.8496
_cell_angle_alpha 90.00
_cell_angle_beta 90.00
_cell_angle_gamma 90.00
_space_group_name_H-M_alt 'F -4 3 m'
_space_group_IT_number 216
_space_group_name_Hall 'F -4 2 3'
loop_
_atom_site_label
_atom_site_fract_x
_atom_site_fract_y
_atom_site_fract_z
Mn1 0.0000 0.0000 0.0000
Be1 0.2500 0.2500 0.7500
Tc1 0.0000 0.0000 0.5000
Tc2 0.2500 0.2500 0.2500
```

[3]
The following is a DFT calculation (PBE-GGA) of MnBeTc after structural relaxation.

Values from the calculation:
Spin magnetization ... 0.002 μB per cell

Cell and atoms, written as CIF:
```
data_MnBeTc
_chemical_formula_sum 'Mn8 Be8 Tc8'
_cell_length_a 4.5638
_cell_length_b 8.4988
_cell_length_c 6.8350
_cell_angle_alpha 90.00
_cell_angle_beta 90.00
_cell_angle_gamma 90.00
_space_group_name_H-M_alt 'C m c e'
_space_group_IT_number 64
_space_group_name_Hall '-C 2ac 2'
loop_
_atom_site_label
_atom_site_fract_x
_atom_site_fract_y
_atom_site_fract_z
Mn1 0.2500 0.1028 0.2500
Be1 0.0000 0.1086 0.5661
Tc1 0.0000 0.1458 0.9053
```

[4]
The following is a DFT calculation (PBE-GGA) of MnBeTc2 after structural relaxation.

Values from the calculation:
Spin magnetization ... 0.000 μB per cell

Cell and atoms, written as CIF:
```
data_MnBeTc2
_chemical_formula_sum 'Mn2 Be2 Tc4'
_cell_length_a 2.9290
_cell_length_b 3.9741
_cell_length_c 8.3199
_cell_angle_alpha 90.00
_cell_angle_beta 90.00
_cell_angle_gamma 90.00
_space_group_name_H-M_alt 'I m m 2'
_space_group_IT_number 44
loop_
_space_group_symop_operation_xyz
'x,y,z'
'-x,-y,z'
'-x,y,z'
'x,-y,z'
'x+1/2,y+1/2,z+1/2'
'-x+1/2,-y+1/2,z+1/2'
'-x+1/2,y+1/2,z+1/2'
'x+1/2,-y+1/2,z+1/2'
loop_
_atom_site_label
_atom_site_fract_x
_atom_site_fract_y
_atom_site_fract_z
Mn1 0.0000 0.0000 0.0000
Be1 0.0000 0.5000 0.2673
Tc1 0.0000 0.0000 0.5131
Tc2 0.0000 0.5000 0.7524
```

[5]
The following is a DFT calculation (PBE-GGA) of Mn2Be9Tc after structural relaxation.

Values from the calculation:
Spin magnetization ... 8.070 μB per cell

Cell and atoms, written as CIF:
```
data_Mn2Be9Tc
_chemical_formula_sum 'Mn6 Be27 Tc3'
_cell_length_a 4.2164
_cell_length_b 4.2164
_cell_length_c 20.2376
_cell_angle_alpha 90.00
_cell_angle_beta 90.00
_cell_angle_gamma 120.00
_space_group_name_H-M_alt 'R -3 m'
_space_group_IT_number 166
_space_group_name_Hall '-R 3 2"'
loop_
_atom_site_label
_atom_site_fract_x
_atom_site_fract_y
_atom_site_fract_z
Mn1 0.0000 0.0000 0.1470
Be1 0.0000 0.0000 0.3341
Be2 0.0000 0.0000 0.5000
Be3 0.0044 0.5022 0.9153
Tc1 0.0000 0.0000 0.0000
```

[6]
The following is a DFT calculation (PBE-GGA) of MnBeTc2 after structural relaxation.

Values from the calculation:
Spin magnetization ... 1.292 μB per cell

Cell and atoms, written as CIF:
```
data_MnBeTc2
_chemical_formula_sum 'Mn3 Be3 Tc6'
_cell_length_a 2.6682
_cell_length_b 2.6682
_cell_length_c 24.4389
_cell_angle_alpha 90.00
_cell_angle_beta 90.00
_cell_angle_gamma 120.00
_space_group_name_H-M_alt 'R -3 m'
_space_group_IT_number 166
_space_group_name_Hall '-R 3 2"'
loop_
_atom_site_label
_atom_site_fract_x
_atom_site_fract_y
_atom_site_fract_z
Mn1 0.0000 0.0000 0.0000
Be1 0.0000 0.0000 0.5000
Tc1 0.0000 0.0000 0.2489
```

[7]
The following is a DFT calculation (PBE-GGA) of MnBeTc2 after structural relaxation.

Values from the calculation:
Spin magnetization ... 1.089 μB per cell

Cell and atoms, written as CIF:
```
data_MnBeTc2
_chemical_formula_sum 'Mn1 Be1 Tc2'
_cell_length_a 2.6974
_cell_length_b 3.7151
_cell_length_c 4.9956
_cell_angle_alpha 90.00
_cell_angle_beta 90.00
_cell_angle_gamma 90.00
_space_group_name_H-M_alt 'P m m 2'
_space_group_IT_number 25
loop_
_space_group_symop_operation_xyz
'x,y,z'
'-x,-y,z'
'-x,y,z'
'x,-y,z'
loop_
_atom_site_label
_atom_site_fract_x
_atom_site_fract_y
_atom_site_fract_z
Mn1 0.0000 0.0000 0.0000
Be1 0.5000 0.5000 0.7809
Tc1 0.0000 0.0000 0.5444
Tc2 0.5000 0.5000 0.2705
```

[8]
The following is a DFT calculation (PBE-GGA) of MnBe2Tc after structural relaxation.

Values from the calculation:
Spin magnetization ... 0.000 μB per cell

Cell and atoms, written as CIF:
```
data_MnBe2Tc
_chemical_formula_sum 'Mn4 Be8 Tc4'
_cell_length_a 5.9952
_cell_length_b 5.9952
_cell_length_c 4.8046
_cell_angle_alpha 90.00
_cell_angle_beta 90.00
_cell_angle_gamma 90.00
_space_group_name_H-M_alt 'I -4 2 d'
_space_group_IT_number 122
_space_group_name_Hall 'I -4 2bw'
loop_
_atom_site_label
_atom_site_fract_x
_atom_site_fract_y
_atom_site_fract_z
Mn1 0.0000 0.0000 0.0000
Be1 0.2364 0.2500 0.1250
Tc1 0.0000 0.0000 0.5000
```

[9]
The following is a DFT calculation (PBE-GGA) of MnBe2Tc2 after structural relaxation.

Values from the calculation:
Spin magnetization ... 5.611 μB per cell

Cell and atoms, written as CIF:
```
data_MnBe2Tc2
_chemical_formula_sum 'Mn2 Be4 Tc4'
_cell_length_a 5.9570
_cell_length_b 5.9570
_cell_length_c 3.1594
_cell_angle_alpha 90.00
_cell_angle_beta 90.00
_cell_angle_gamma 90.00
_space_group_name_H-M_alt 'P 4/m b m'
_space_group_IT_number 127
_space_group_name_Hall '-P 4 2ab'
loop_
_atom_site_label
_atom_site_fract_x
_atom_site_fract_y
_atom_site_fract_z
Mn1 0.0000 0.0000 0.0000
Be1 0.1207 0.3793 0.0000
Tc1 0.1765 0.6765 0.5000
```

[10]
The following is a DFT calculation (PBE-GGA) of MnBe3Tc after structural relaxation.

Values from the calculation:
Spin magnetization ... 1.945 μB per cell

Cell and atoms, written as CIF:
```
data_MnBe3Tc
_chemical_formula_sum 'Mn1 Be3 Tc1'
_cell_length_a 3.8370
_cell_length_b 3.8370
_cell_length_c 3.8370
_cell_angle_alpha 90.00
_cell_angle_beta 90.00
_cell_angle_gamma 90.00
_space_group_name_H-M_alt 'P m -3 m'
_space_group_IT_number 221
_space_group_name_Hall '-P 4 2 3'
loop_
_atom_site_label
_atom_site_fract_x
_atom_site_fract_y
_atom_site_fract_z
Mn1 0.0000 0.0000 0.0000
Be1 0.0000 0.0000 0.5000
Tc1 0.5000 0.5000 0.5000
```

[11]
The following is a DFT calculation (PBE-GGA) of MnBe16Tc2 after structural relaxation.

Values from the calculation:
Spin magnetization ... 0.000 μB per cell

Cell and atoms, written as CIF:
```
data_MnBe16Tc2
_chemical_formula_sum 'Mn3 Be48 Tc6'
_cell_length_a 7.3127
_cell_length_b 7.3127
_cell_length_c 10.5299
_cell_angle_alpha 90.00
_cell_angle_beta 90.00
_cell_angle_gamma 120.00
_space_group_name_H-M_alt 'R 3 m'
_space_group_IT_number 160
_space_group_name_Hall 'R 3 -2"'
loop_
_atom_site_label
_atom_site_fract_x
_atom_site_fract_y
_atom_site_fract_z
Mn1 0.0000 0.0000 0.0000
Be1 0.0000 0.0000 0.7921
Be2 0.0007 0.2984 0.9003
Be3 0.0042 0.5021 0.3964
Be4 0.0105 0.5052 0.0490
Be5 0.1716 0.3432 0.0794
Tc1 0.0000 0.0000 0.2277
Tc2 0.0000 0.0000 0.5639
```

[12]
The following is a DFT calculation (PBE-GGA) of Mn3Be8Tc after structural relaxation.

Values from the calculation:
Spin magnetization ... 2.402 μB per cell

Cell and atoms, written as CIF:
```
data_Mn3Be8Tc
_chemical_formula_sum 'Mn3 Be8 Tc1'
_cell_length_a 4.2172
_cell_length_b 4.2172
_cell_length_c 6.8784
_cell_angle_alpha 90.00
_cell_angle_beta 90.00
_cell_angle_gamma 120.00
_space_group_name_H-M_alt 'P 3 m 1'
_space_group_IT_number 156
loop_
_space_group_symop_operation_xyz
'x,y,z'
'-y,x-y,z'
'-x+y,-x,z'
'-y,-x,z'
'-x+y,y,z'
'x,x-y,z'
loop_
_atom_site_label
_atom_site_fract_x
_atom_site_fract_y
_atom_site_fract_z
Mn1 0.0000 0.0000 0.0000
Mn2 0.0000 0.0000 0.3788
Mn3 0.3333 0.6667 0.8765
Be1 0.0061 0.5031 0.1850
Be2 0.3268 0.1634 0.6953
Be3 0.6667 0.3333 0.4383
Be4 0.6667 0.3333 0.9418
Tc1 0.3333 0.6667 0.5021
```

[13]
The following is a DFT calculation (PBE-GGA) of MnBe2Tc after structural relaxation.

Values from the calculation:
Spin magnetization ... 3.875 μB per cell

Cell and atoms, written as CIF:
```
data_MnBe2Tc
_chemical_formula_sum 'Mn2 Be4 Tc2'
_cell_length_a 3.2724
_cell_length_b 2.9711
_cell_length_c 8.5511
_cell_angle_alpha 90.00
_cell_angle_beta 90.00
_cell_angle_gamma 90.00
_space_group_name_H-M_alt 'A m m 2'
_space_group_IT_number 38
loop_
_space_group_symop_operation_xyz
'x,y,z'
'-x,-y,z'
'-x,y,z'
'x,-y,z'
'x,y+1/2,z+1/2'
'-x,-y+1/2,z+1/2'
'-x,y+1/2,z+1/2'
'x,-y+1/2,z+1/2'
loop_
_atom_site_label
_atom_site_fract_x
_atom_site_fract_y
_atom_site_fract_z
Mn1 0.0000 0.0000 0.0000
Be1 0.0000 0.0000 0.2776
Be2 0.5000 0.0000 0.4195
Tc1 0.5000 0.0000 0.6946
```

[14]
The following is a DFT calculation (PBE-GGA) of MnBeTc after structural relaxation.

Values from the calculation:
Spin magnetization ... 1.188 μB per cell

Cell and atoms, written as CIF:
```
data_MnBeTc
_chemical_formula_sum 'Mn1 Be1 Tc1'
_cell_length_a 3.9600
_cell_length_b 3.9600
_cell_length_c 2.5626
_cell_angle_alpha 90.00
_cell_angle_beta 90.00
_cell_angle_gamma 120.00
_space_group_name_H-M_alt 'P 3 m 1'
_space_group_IT_number 156
loop_
_space_group_symop_operation_xyz
'x,y,z'
'-y,x-y,z'
'-x+y,-x,z'
'-y,-x,z'
'-x+y,y,z'
'x,x-y,z'
loop_
_atom_site_label
_atom_site_fract_x
_atom_site_fract_y
_atom_site_fract_z
Mn1 0.0000 0.0000 0.0000
Be1 0.3333 0.6667 0.7264
Tc1 0.6667 0.3333 0.3115
```

[15]
The following is a DFT calculation (PBE-GGA) of MnBeTc2 after structural relaxation.

Values from the calculation:
Spin magnetization ... 2.376 μB per cell

Cell and atoms, written as CIF:
```
data_MnBeTc2
_chemical_formula_sum 'Mn1 Be1 Tc2'
_cell_length_a 3.2257
_cell_length_b 3.9464
_cell_length_c 4.0065
_cell_angle_alpha 90.00
_cell_angle_beta 90.00
_cell_angle_gamma 90.00
_space_group_name_H-M_alt 'P m m m'
_space_group_IT_number 47
loop_
_space_group_symop_operation_xyz
'x,y,z'
'-x,-y,-z'
'-x,-y,z'
'x,y,-z'
'x,-y,-z'
'-x,y,z'
'-x,y,-z'
'x,-y,z'
loop_
_atom_site_label
_atom_site_fract_x
_atom_site_fract_y
_atom_site_fract_z
Mn1 0.0000 0.0000 0.0000
Be1 0.5000 0.0000 0.5000
Tc1 0.0000 0.5000 0.5000
Tc2 0.5000 0.5000 0.0000
```

[16]
The following is a DFT calculation (PBE-GGA) of MnBe2Tc after structural relaxation.

Values from the calculation:
Spin magnetization ... 0.010 μB per cell

Cell and atoms, written as CIF:
```
data_MnBe2Tc
_chemical_formula_sum 'Mn2 Be4 Tc2'
_cell_length_a 2.9806
_cell_length_b 3.8668
_cell_length_c 7.4283
_cell_angle_alpha 90.00
_cell_angle_beta 90.00
_cell_angle_gamma 90.00
_space_group_name_H-M_alt 'I m m m'
_space_group_IT_number 71
_space_group_name_Hall '-I 2 2'
loop_
_atom_site_label
_atom_site_fract_x
_atom_site_fract_y
_atom_site_fract_z
Mn1 0.0000 0.0000 0.0000
Be1 0.0000 0.5000 0.2551
Tc1 0.0000 0.0000 0.5000
```

[17]
The following is a DFT calculation (PBE-GGA) of MnBeTc2 after structural relaxation.

Values from the calculation:
Spin magnetization ... 2.876 μB per cell

Cell and atoms, written as CIF:
```
data_MnBeTc2
_chemical_formula_sum 'Mn2 Be2 Tc4'
_cell_length_a 3.0446
_cell_length_b 4.1623
_cell_length_c 7.8865
_cell_angle_alpha 90.00
_cell_angle_beta 90.00
_cell_angle_gamma 90.00
_space_group_name_H-M_alt 'I m m m'
_space_group_IT_number 71
_space_group_name_Hall '-I 2 2'
loop_
_atom_site_label
_atom_site_fract_x
_atom_site_fract_y
_atom_site_fract_z
Mn1 0.0000 0.0000 0.0000
Be1 0.0000 0.0000 0.5000
Tc1 0.0000 0.5000 0.2446
```

[18]
The following is a DFT calculation (PBE-GGA) of MnBe2Tc after structural relaxation.

Values from the calculation:
Spin magnetization ... 2.922 μB per cell

Cell and atoms, written as CIF:
```
data_MnBe2Tc
_chemical_formula_sum 'Mn1 Be2 Tc1'
_cell_length_a 2.5855
_cell_length_b 3.1162
_cell_length_c 5.3619
_cell_angle_alpha 90.00
_cell_angle_beta 90.00
_cell_angle_gamma 90.00
_space_group_name_H-M_alt 'P m m m'
_space_group_IT_number 47
loop_
_space_group_symop_operation_xyz
'x,y,z'
'-x,-y,-z'
'-x,-y,z'
'x,y,-z'
'x,-y,-z'
'-x,y,z'
'-x,y,-z'
'x,-y,z'
loop_
_atom_site_label
_atom_site_fract_x
_atom_site_fract_y
_atom_site_fract_z
Mn1 0.0000 0.0000 0.0000
Be1 0.5000 0.5000 0.2345
Tc1 0.0000 0.0000 0.5000
```

[19]
The following is a DFT calculation (PBE-GGA) of MnBe2Tc after structural relaxation.

Values from the calculation:
Spin magnetization ... 0.000 μB per cell

Cell and atoms, written as CIF:
```
data_MnBe2Tc
_chemical_formula_sum 'Mn4 Be8 Tc4'
_cell_length_a 5.5219
_cell_length_b 5.5219
_cell_length_c 5.5219
_cell_angle_alpha 90.00
_cell_angle_beta 90.00
_cell_angle_gamma 90.00
_space_group_name_H-M_alt 'F -4 3 m'
_space_group_IT_number 216
_space_group_name_Hall 'F -4 2 3'
loop_
_atom_site_label
_atom_site_fract_x
_atom_site_fract_y
_atom_site_fract_z
Mn1 0.0000 0.0000 0.0000
Be1 0.0000 0.0000 0.5000
Be2 0.2500 0.2500 0.7500
Tc1 0.2500 0.2500 0.2500
```

[20]
The following is a DFT calculation (PBE-GGA) of Mn2Be2Tc after structural relaxation.

Values from the calculation:
Spin magnetization ... 6.518 μB per cell

Cell and atoms, written as CIF:
```
data_Mn2Be2Tc
_chemical_formula_sum 'Mn4 Be4 Tc2'
_cell_length_a 6.1244
_cell_length_b 6.1244
_cell_length_c 2.8011
_cell_angle_alpha 90.00
_cell_angle_beta 90.00
_cell_angle_gamma 90.00
_space_group_name_H-M_alt 'P 4/m b m'
_space_group_IT_number 127
_space_group_name_Hall '-P 4 2ab'
loop_
_atom_site_label
_atom_site_fract_x
_atom_site_fract_y
_atom_site_fract_z
Mn1 0.1710 0.3290 0.0000
Be1 0.1226 0.6226 0.5000
Tc1 0.0000 0.0000 0.5000
```

| no. | energy of formation from the pure elements (meV per atom) |
| --- | --- |
| 1 | 388 |
| 2 | 79 |
| 3 | -16 |
| 4 | -26 |
| 5 | -230 |
| 6 | 134 |
| 7 | 52 |
| 8 | 318 |
| 9 | -252 |
| 10 | 894 |
| 11 | -166 |
| 12 | -290 |
| 13 | -135 |
| 14 | -40 |
| 15 | 82 |
| 16 | 26 |
| 17 | 16 |
| 18 | -45 |
| 19 | -151 |
| 20 | -92 |